[1]
{"formula": "Sr11In7", "functional": "PBE", "state": "optimized geometry", "crystal_system": "cubic", "lattice_angstrom": [[-8.622, -5.596, -7.313], [-10.448, -4.847, 5.146], [-11.158, 5.545, -1.969]], "species": ["In", "In", "In", "In", "In", "In", "In", "In", "In", "In", "In", "In", "In", "In", "Sr", "Sr", "Sr", "Sr", "Sr", "Sr", "Sr", "Sr", "Sr", "Sr", "Sr", "Sr", "Sr", "Sr", "Sr", "Sr", "Sr", "Sr", "Sr", "Sr", "Sr", "Sr"], "fractional_positions": [[0.311, 0.311, 0.311], [0.311, 0.068, 0.311], [0.068, 0.311, 0.311], [0.311, 0.311, 0.068], [0.689, 0.932, 0.689], [0.689, 0.689, 0.689], [0.932, 0.689, 0.689], [0.689, 0.689, 0.932], [0.220, 0.220, 0.780], [0.780, 0.780, 0.220], [0.780, 0.220, 0.220], [0.220, 0.780, 0.780], [0.220, 0.780, 0.220], [0.780, 0.220, 0.780], [0.500, 0.500, 0.500], [0.000, 0.000, 0.000], [0.129, 0.129, 0.129], [0.129, 0.612, 0.129], [0.612, 0.129, 0.129], [0.129, 0.129, 0.612], [0.871, 0.388, 0.871], [0.871, 0.871, 0.871], [0.388, 0.871, 0.871], [0.871, 0.871, 0.388], [0.500, 0.500, 0.835], [0.835, 0.165, 0.500], [0.165, 0.835, 0.500], [0.500, 0.500, 0.165], [0.835, 0.500, 0.500], [0.500, 0.835, 0.165], [0.500, 0.165, 0.835], [0.165, 0.500, 0.500], [0.500, 0.835, 0.500], [0.165, 0.500, 0.835], [0.835, 0.500, 0.165], [0.500, 0.165, 0.500]]}

***

[2]
{"formula": "Sr3In2", "functional": "PBE", "state": "optimized geometry", "crystal_system": "trigonal", "lattice_angstrom": [[14.154, -2.036, 0.026], [14.154, 2.036, 0.026], [13.855, 0.000, 3.539]], "species": ["Sr", "Sr", "Sr", "In", "In"], "fractional_positions": [[0.000, 0.000, 0.000], [0.790, 0.790, 0.790], [0.210, 0.210, 0.210], [0.396, 0.396, 0.396], [0.604, 0.604, 0.604]]}

***

[3]
{"formula": "SrIn4", "functional": "PBE", "state": "optimized geometry", "crystal_system": "cubic", "lattice_angstrom": [[-3.703, 3.703, 3.703], [3.703, -3.703, 3.703], [3.703, 3.703, -3.703]], "species": ["Sr", "In", "In", "In", "In"], "fractional_positions": [[0.000, 0.000, 0.000], [0.500, 0.000, 0.000], [0.500, 0.500, 0.500], [0.000, 0.000, 0.500], [0.000, 0.500, 0.000]]}

***

[4]
{"formula": "Sr5In6", "functional": "PBE", "state": "optimized geometry", "crystal_system": "monoclinic", "lattice_angstrom": [[5.685, 0.231, -1.858], [-0.553, 7.151, -2.974], [-0.348, -0.535, 9.594]], "species": ["Sr", "Sr", "Sr", "Sr", "Sr", "In", "In", "In", "In", "In", "In"], "fractional_positions": [[0.000, 0.500, 0.000], [0.652, 0.652, 0.304], [0.348, 0.348, 0.696], [0.307, 0.807, 0.613], [0.693, 0.193, 0.387], [0.356, 0.842, 0.000], [0.644, 0.158, 0.000], [0.827, 0.046, 0.700], [0.873, 0.654, 0.700], [0.173, 0.954, 0.300], [0.127, 0.346, 0.300]]}

***

[5]
{"formula": "SrIn2", "functional": "PBE", "state": "optimized geometry", "crystal_system": "hexagonal", "lattice_angstrom": [[5.090, 0.000, 0.000], [-2.545, 4.408, 0.000], [0.000, 0.000, 8.097]], "species": ["In", "In", "In", "In", "Sr", "Sr"], "fractional_positions": [[0.333, 0.667, 0.455], [0.667, 0.333, 0.955], [0.667, 0.333, 0.545], [0.333, 0.667, 0.045], [0.000, 0.000, 0.250], [0.000, 0.000, 0.750]]}

***

[6]
{"formula": "SrIn8", "functional": "PBE", "state": "optimized geometry", "crystal_system": "tetragonal", "lattice_angstrom": [[-7.137, -0.922, -2.602], [7.372, -1.119, -1.720], [-0.394, -5.553, 5.250]], "species": ["In", "In", "In", "In", "In", "In", "In", "In", "Sr"], "fractional_positions": [[0.324, 0.676, 0.000], [0.676, 0.324, 0.000], [0.000, 0.343, 0.343], [0.676, 0.676, 0.352], [0.343, 0.000, 0.343], [0.324, 0.324, 0.648], [0.000, 0.657, 0.657], [0.657, 0.000, 0.657], [0.000, 0.000, 0.000]]}

***

[7]
{"formula": "Sr2In", "functional": "PBE", "state": "optimized geometry", "crystal_system": "trigonal", "lattice_angstrom": [[5.797, 0.000, 0.000], [-2.899, 5.021, 0.000], [0.000, 0.000, 4.057]], "species": ["In", "Sr", "Sr"], "fractional_positions": [[0.000, 0.000, 0.000], [0.333, 0.667, 0.718], [0.667, 0.333, 0.282]]}

***

[8]
{"formula": "Sr4In", "functional": "PBE", "state": "optimized geometry", "crystal_system": "monoclinic", "de_polymorph_mev_per_atom": 0, "lattice_angstrom": [[11.026, 0.623, 6.206], [6.156, 10.868, 1.659], [0.688, -0.865, 12.552]], "species": ["Sr", "Sr", "Sr", "Sr", "Sr", "Sr", "Sr", "Sr", "Sr", "Sr", "Sr", "Sr", "Sr", "Sr", "Sr", "Sr", "Sr", "Sr", "Sr", "Sr", "Sr", "Sr", "Sr", "Sr", "In", "In", "In", "In", "In", "In"], "fractional_positions": [[0.379, 0.779, 0.735], [0.121, 0.265, 0.221], [0.621, 0.221, 0.265], [0.879, 0.735, 0.779], [0.625, 0.501, 0.055], [0.875, 0.945, 0.499], [0.750, 0.617, 0.383], [0.250, 0.383, 0.617], [0.862, 0.449, 0.652], [0.638, 0.348, 0.551], [0.138, 0.551, 0.348], [0.362, 0.652, 0.449], [0.053, 0.202, 0.846], [0.447, 0.154, 0.798], [0.947, 0.798, 0.154], [0.553, 0.846, 0.202], [0.000, 0.500, 0.000], [0.500, 0.000, 0.500], [0.966, 0.954, 0.855], [0.534, 0.145, 0.046], [0.034, 0.046, 0.145], [0.466, 0.855, 0.954], [0.125, 0.055, 0.501], [0.375, 0.499, 0.945], [0.250, 0.776, 0.224], [0.750, 0.224, 0.776], [0.213, 0.618, 0.775], [0.287, 0.225, 0.382], [0.787, 0.382, 0.225], [0.713, 0.775, 0.618]]}

***

The evaluated raw total energy for the records listed, in turn: -2.446, -2.298, -2.146, -2.590, -2.848, -2.745, -2.222, -2.024 eV/atom.
The evaluated calculated formation energy for the records listed, in turn: -0.35, -0.19, 0.38, -0.33, -0.46, -0.12, -0.19, -0.13 eV per atom.